BaCaGe2S | GGA-PBEsol | optimized geometry

abc: 5.1470 5.1470 5.5523
angles: 90.00 90.00 90.00
Space group P4/mmm (No. 123)
One atom of each set of equivalent atoms:
Ba 0.0000 0.0000 0.0000 [1 per cell]
Ca 0.5000 0.5000 0.0000 [1 per cell]
Ge 0.0000 0.5000 0.5000 [2 per cell]
S 0.0000 0.0000 0.5000 [1 per cell]

Summary:
- total DFT energy (no corrections) (eV/atom) = -3.909
- spin magnetization (μB/f.u.) = 0.00
- ρ (kg/m3) = 4005



CaBi2Au6 | GGA-PBEsol | optimized geometry

abc: 5.5946 5.5946 13.7299
angles: 90.00 90.00 120.00
Space group P3m1 (No. 156)
One atom of each set of equivalent atoms:
Ca 0.0000 0.0000 0.0000 [1 per cell]
Ca 0.3333 0.6667 0.6696 [1 per cell]
Bi 0.0000 0.0000 0.2563 [1 per cell]
Bi 0.3333 0.6667 0.9186 [1 per cell]
Bi 0.6667 0.3333 0.3312 [1 per cell]
Bi 0.6667 0.3333 0.5771 [1 per cell]
Au 0.0000 0.0000 0.6271 [1 per cell]
Au 0.9996 0.4998 0.1244 [3 per cell]
Au 0.1674 0.3349 0.4611 [3 per cell]
Au 0.3330 0.1665 0.7918 [3 per cell]
Au 0.3333 0.6667 0.2918 [1 per cell]
Au 0.6667 0.3333 0.9586 [1 per cell]

Summary:
- total DFT energy (no corrections) (eV/atom) = -4.114
- spin magnetization (μB/f.u.) = 0.00
- ρ (kg/m3) = 14633



InPRh3 | GGA-PBEsol | optimized geometry

abc: 4.3359 4.3359 4.3359
angles: 90.00 90.00 90.00
Space group Pm-3m (No. 221)
One atom of each set of equivalent atoms:
In 0.0000 0.0000 0.0000 [1 per cell]
P 0.5000 0.5000 0.5000 [1 per cell]
Rh 0.0000 0.5000 0.5000 [3 per cell]

Summary:
- total DFT energy (no corrections) (eV/atom) = -6.834
- spin magnetization (μB/f.u.) = 0.00
- ρ (kg/m3) = 9259